(1)
The following is a PBE calculation of an optimized crystal structure of NdTh2Sc8, from the Alexandria database.

Cell: 9.287 9.287 9.287 Å, 145.05 137.29 56.33°
Element x y z (fractional)
1 Nd 0.000 0.000 0.000
2 Th 0.309 0.809 0.500
3 Th 0.691 0.191 0.500
4 Sc 0.102 0.368 0.734
5 Sc 0.200 0.200 0.000
6 Sc 0.366 0.632 0.734
7 Sc 0.500 0.246 0.746
8 Sc 0.500 0.754 0.254
9 Sc 0.634 0.368 0.266
10 Sc 0.800 0.800 0.000
11 Sc 0.898 0.632 0.266

Properties
For the theoretical density, the calculation gives 5.20 Mg/m³. Its excess energy over the best structure of this formula in the dataset is 21 meV/atom. As for the formation energy: 0.1890 eV/atom. Its space group is Immm.



(2)
The following is a PBE calculation of an optimized crystal structure of Ba5NaCa4, from the Alexandria database.

Cell: 4.712 4.712 23.657 Å, 90.00 90.00 90.00°
Element x y z (fractional)
1 Ba 0.000 0.000 0.000
2 Ba 0.000 0.000 0.200
3 Ba 0.000 0.000 0.402
4 Ba 0.000 0.000 0.598
5 Ba 0.000 0.000 0.800
6 Na 0.500 0.500 0.500
7 Ca 0.500 0.500 0.101
8 Ca 0.500 0.500 0.298
9 Ca 0.500 0.500 0.702
10 Ca 0.500 0.500 0.899

Properties
For the theoretical density, the calculation gives 2.75 Mg/m³. As for the formation energy: 0.0289 eV/atom. Its space group is P4/mmm.



(3)
The following is a PBE calculation of an optimized crystal structure of La2ZnGeN, from the Alexandria database.

Cell: 5.100 5.100 4.209 Å, 90.00 90.00 90.00°
Element x y z (fractional)
1 La 0.000 0.500 0.000
2 La 0.500 0.000 0.000
3 Zn 0.000 0.000 0.500
4 Ge 0.500 0.500 0.500
5 N 0.000 0.000 0.000

Properties
The value obtained for the uncorrected formation energy is -345.0 kJ/mol of formula units. For the theoretical density, the calculation gives 6.52 Mg/m³. Its space group is P4/mmm.



(4)
The following is a PBE calculation of an optimized crystal structure of TaP2PtO, from the Alexandria database.

Cell: 4.745 4.745 3.733 Å, 90.00 90.00 90.00°
Element x y z (fractional)
1 Ta 0.000 0.000 0.000
2 P 0.000 0.500 0.500
3 P 0.500 0.000 0.500
4 Pt 0.500 0.500 0.500
5 O 0.500 0.500 0.000

Properties
The value obtained for the uncorrected formation energy is 282.8 kJ/mol of formula units. For the theoretical density, the calculation gives 8.97 Mg/m³. Its excess energy over the best structure of this formula in the dataset is 749 meV/atom. Its space group is P4/mmm.



(5)
The following is a PBE calculation of an optimized crystal structure of PmTePd2, from the Alexandria database.

Cell: 4.419 4.419 4.361 Å, 90.00 90.00 90.00°
Element x y z (fractional)
1 Pm 0.000 0.000 0.000
2 Te 0.500 0.500 0.000
3 Pd 0.000 0.500 0.500
4 Pd 0.500 0.000 0.500

Properties
The value obtained for the uncorrected formation energy is -275.1 kJ/mol of formula units. For the theoretical density, the calculation gives 9.47 Mg/m³. Its excess energy over the best structure of this formula in the dataset is 6 meV/atom. Its space group is P4/mmm.



(6)
The following is a PBE calculation of an optimized crystal structure of Cu3Pt4Au2, from the Alexandria database.

Cell: 7.865 7.002 4.951 Å, 80.29 61.35 38.36°
Element x y z (fractional)
1 Cu 0.000 0.000 0.000
2 Cu 0.000 0.000 0.500
3 Cu 0.500 0.500 0.000
4 Pt 0.006 0.328 0.672
5 Pt 0.328 0.006 0.994
6 Pt 0.672 0.994 0.006
7 Pt 0.994 0.672 0.328
8 Au 0.370 0.370 0.630
9 Au 0.630 0.630 0.370

Properties
For the theoretical density, the calculation gives 16.50 Mg/m³. As for the formation energy: -0.0188 eV/atom. Its space group is Fmmm.